# 1
Below is Sm6Bi2Ir after structural relaxation, with properties calculated at the PBE-GGA level.

## Properties
DOS at the Fermi energy, states/eV/cell: 20.99
Total magnetization, μB/atom: 0.000
Formation enthalpy at 0 K, meV/atom: -560
Total energy, eV per formula unit: -49.98

Geometry as CIF:
```
data_Sm6Bi2Ir
_chemical_formula_sum 'Sm12 Bi4 Ir2'
_symmetry_space_group_name_H-M 'P 1 21/c 1'
_symmetry_Int_Tables_number 14
_symmetry_space_group_name_Hall '-P 2ybc'
_cell_length_a 6.5489
_cell_length_b 8.2354
_cell_length_c 12.2263
_cell_angle_alpha 90.00
_cell_angle_beta 120.28
_cell_angle_gamma 90.00
loop_
_atom_site_label
_atom_site_fract_x
_atom_site_fract_y
_atom_site_fract_z
Sm1 0.0971 0.1821 0.4581
Sm2 0.3182 0.6804 0.4583
Sm3 0.3703 0.0223 0.2481
Bi1 0.1573 0.1130 0.7501
Ir1 0.5000 0.0000 0.5000
```

***

# 2
Below is CaAc2V after structural relaxation, with properties calculated at the PBE-GGA level.

## Properties
DOS at the Fermi energy, states/eV/cell: 14.84
Total magnetization, μB/atom: 0.777
Formation enthalpy at 0 K, meV/atom: 769
Total energy, eV per formula unit: -16.26

Geometry as CIF:
```
data_CaAc2V
_chemical_formula_sum 'Ca3 Ac6 V3'
_symmetry_space_group_name_H-M 'R -3 m'
_symmetry_Int_Tables_number 166
_symmetry_space_group_name_Hall '-R 3 2"'
_cell_length_a 3.7099
_cell_length_b 3.7099
_cell_length_c 37.9309
_cell_angle_alpha 90.00
_cell_angle_beta 90.00
_cell_angle_gamma 120.00
loop_
_atom_site_label
_atom_site_fract_x
_atom_site_fract_y
_atom_site_fract_z
Ca1 0.0000 0.0000 0.0000
Ac1 0.0000 0.0000 0.4215
V1 0.0000 0.0000 0.5000
```

***

# 3
Below is TmBiSe3 after structural relaxation, with properties calculated at the PBE-GGA level.

## Properties
Total magnetization, μB/atom: 0.000
Total energy, eV per formula unit: -24.25
Energy above the lowest structure with this stoichiometry, kcal/mol of atoms: 0.55
Raw formation energy, eV per atom: -1.0885

Geometry as CIF:
```
data_TmBiSe3
_chemical_formula_sum 'Tm4 Bi4 Se12'
_symmetry_space_group_name_H-M 'C m c 21'
_symmetry_Int_Tables_number 36
_symmetry_space_group_name_Hall 'C 2c -2'
_cell_length_a 4.1099
_cell_length_b 21.3759
_cell_length_c 7.1919
_cell_angle_alpha 90.00
_cell_angle_beta 90.00
_cell_angle_gamma 90.00
loop_
_atom_site_label
_atom_site_fract_x
_atom_site_fract_y
_atom_site_fract_z
Tm1 0.0000 0.1683 0.0000
Bi1 0.0000 0.3491 0.9998
Se1 0.0000 0.0864 0.3140
Se2 0.0000 0.2515 0.6722
Se3 0.0000 0.4042 0.3524
```

***

# 4
Below is FeCoOs2 after structural relaxation, with properties calculated at the PBE-GGA level.

## Properties
DOS at the Fermi energy, states/eV/cell: 11.93
Total magnetization, μB/atom: 0.620
Formation enthalpy at 0 K, meV/atom: 178
Total energy, eV per formula unit: -37.32
Energy above the lowest structure with this stoichiometry, kcal/mol of atoms: 1.60

Geometry as CIF:
```
data_FeCoOs2
_chemical_formula_sum 'Fe2 Co2 Os4'
_symmetry_space_group_name_H-M 'C 1 2/m 1'
_symmetry_Int_Tables_number 12
_symmetry_space_group_name_Hall '-C 2y'
_cell_length_a 8.5414
_cell_length_b 2.6520
_cell_length_c 4.6202
_cell_angle_alpha 90.00
_cell_angle_beta 100.31
_cell_angle_gamma 90.00
loop_
_atom_site_label
_atom_site_fract_x
_atom_site_fract_y
_atom_site_fract_z
Fe1 0.0000 0.0000 0.0000
Co1 0.0000 0.5000 0.5000
Os1 0.2494 0.0000 0.7470
```

***

# 5
Below is Cs12Ca3F5 after structural relaxation, with properties calculated at the PBE-GGA level.

## Properties
DOS at the Fermi energy, states/eV/cell: 124.38
Total magnetization, μB/atom: 0.052
Total energy, eV per formula unit: -47.51
Raw formation energy, eV per atom: -1.0954

Geometry as CIF:
```
data_Cs12Ca3F5
_chemical_formula_sum 'Cs96 Ca24 F40'
_symmetry_space_group_name_H-M 'I a -3 d'
_symmetry_Int_Tables_number 230
_symmetry_space_group_name_Hall '-I 4bd 2c 3'
_cell_length_a 21.0728
_cell_length_b 21.0728
_cell_length_c 21.0728
_cell_angle_alpha 90.00
_cell_angle_beta 90.00
_cell_angle_gamma 90.00
loop_
_atom_site_label
_atom_site_fract_x
_atom_site_fract_y
_atom_site_fract_z
Cs1 0.0350 0.1439 0.9541
Ca1 0.0000 0.2500 0.1250
F1 0.0000 0.0000 0.0000
F2 0.0000 0.2500 0.3750
```

***

# 6
Below is La2HfSe5 after structural relaxation, with properties calculated at the PBE-GGA level.

## Properties
Total magnetization, μB/atom: 0.000
Total energy, eV per formula unit: -50.48
Energy above the lowest structure with this stoichiometry, kcal/mol of atoms: 3.06
Raw formation energy, eV per atom: -1.6559

Geometry as CIF:
```
data_La2HfSe5
_chemical_formula_sum 'La8 Hf4 Se20'
_symmetry_space_group_name_H-M 'C m c m'
_symmetry_Int_Tables_number 63
_symmetry_space_group_name_Hall '-C 2c 2'
_cell_length_a 5.5767
_cell_length_b 14.5176
_cell_length_c 13.6165
_cell_angle_alpha 90.00
_cell_angle_beta 90.00
_cell_angle_gamma 90.00
loop_
_atom_site_label
_atom_site_fract_x
_atom_site_fract_y
_atom_site_fract_z
La1 0.0000 0.1451 0.0665
Hf1 0.0000 0.1834 0.7500
Se1 0.0000 0.0494 0.6238
Se2 0.0000 0.2775 0.2500
Se3 0.0000 0.2985 0.5921
```

***

# 7
Below is BaCaCuF6 after structural relaxation, with properties calculated at the PBE-GGA level.

## Properties
DOS at the Fermi energy, states/eV/cell: 4.69
Total magnetization, μB/atom: 0.111
Total energy, eV per formula unit: -46.84
Raw formation energy, eV per atom: -3.0655

Geometry as CIF:
```
data_BaCaCuF6
_chemical_formula_sum 'Ba4 Ca4 Cu4 F24'
_symmetry_space_group_name_H-M 'I m m a'
_symmetry_Int_Tables_number 74
_symmetry_space_group_name_Hall '-I 2b 2'
_cell_length_a 7.2549
_cell_length_b 7.5493
_cell_length_c 10.0950
_cell_angle_alpha 90.00
_cell_angle_beta 90.00
_cell_angle_gamma 90.00
loop_
_atom_site_label
_atom_site_fract_x
_atom_site_fract_y
_atom_site_fract_z
Ba1 0.0000 0.2500 0.1625
Ca1 0.2500 0.2500 0.7500
Cu1 0.0000 0.0000 0.5000
F1 0.0000 0.2500 0.6163
F2 0.0000 0.2500 0.8930
F3 0.1902 0.0509 0.3679
```

***

# 8
Below is Ac4S3N after structural relaxation, with properties calculated at the PBE-GGA level.

## Properties
DOS at the Fermi energy, states/eV/cell: 3.54
Total magnetization, μB/atom: 0.000
Total energy, eV per formula unit: -50.49
Energy above the lowest structure with this stoichiometry, kcal/mol of atoms: 2.10
Raw formation energy, eV per atom: -1.6687

Geometry as CIF:
```
data_Ac4S3N
_chemical_formula_sum 'Ac4 S3 N1'
_symmetry_space_group_name_H-M 'P m -3 m'
_symmetry_Int_Tables_number 221
_symmetry_space_group_name_Hall '-P 4 2 3'
_cell_length_a 5.9773
_cell_length_b 5.9773
_cell_length_c 5.9773
_cell_angle_alpha 90.00
_cell_angle_beta 90.00
_cell_angle_gamma 90.00
loop_
_atom_site_label
_atom_site_fract_x
_atom_site_fract_y
_atom_site_fract_z
Ac1 0.0000 0.0000 0.0000
Ac2 0.0000 0.5000 0.5000
S1 0.0000 0.0000 0.5000
N1 0.5000 0.5000 0.5000
```

***

# 9
Below is DyU5P6 after structural relaxation, with properties calculated at the PBE-GGA level.

## Properties
DOS at the Fermi energy, states/eV/cell: 55.49
Total magnetization, μB/atom: 0.904
Formation enthalpy at 0 K, meV/atom: -1067
Total energy, eV per formula unit: -106.31

Geometry as CIF:
```
data_DyU5P6
_chemical_formula_sum 'Dy2 U10 P12'
_symmetry_space_group_name_H-M 'C 1 2/m 1'
_symmetry_Int_Tables_number 12
_symmetry_space_group_name_Hall '-C 2y'
_cell_length_a 6.8357
_cell_length_b 11.8522
_cell_length_c 6.8325
_cell_angle_alpha 90.00
_cell_angle_beta 109.53
_cell_angle_gamma 90.00
loop_
_atom_site_label
_atom_site_fract_x
_atom_site_fract_y
_atom_site_fract_z
Dy1 0.0000 0.0000 0.0000
U1 0.0000 0.1655 0.5000
U2 0.0000 0.3335 0.0000
U3 0.0000 0.5000 0.5000
P1 0.2483 0.3321 0.7488
P2 0.2482 0.5000 0.2508
```

***

# 10
Below is LaSnPbF2 after structural relaxation, with properties calculated at the PBE-GGA level.

## Properties
DOS at the Fermi energy, states/eV/cell: 1.12
Total magnetization, μB/atom: 0.000
Total energy, eV per formula unit: -23.35
Raw formation energy, eV per atom: -1.3937

Geometry as CIF:
```
data_LaSnPbF2
_chemical_formula_sum 'La1 Sn1 Pb1 F2'
_symmetry_space_group_name_H-M 'P 4/m m m'
_symmetry_Int_Tables_number 123
_symmetry_space_group_name_Hall '-P 4 2'
_cell_length_a 4.6816
_cell_length_b 4.6816
_cell_length_c 6.0888
_cell_angle_alpha 90.00
_cell_angle_beta 90.00
_cell_angle_gamma 90.00
loop_
_atom_site_label
_atom_site_fract_x
_atom_site_fract_y
_atom_site_fract_z
La1 0.0000 0.0000 0.0000
Sn1 0.5000 0.5000 0.5000
Pb1 0.5000 0.5000 0.0000
F1 0.0000 0.5000 0.5000
```

***

# 11
Below is Li2Cd9In after structural relaxation, with properties calculated at the PBE-GGA level.

## Properties
DOS at the Fermi energy, states/eV/cell: 4.00
Total magnetization, μB/atom: 0.000
Formation enthalpy at 0 K, meV/atom: -90
Total energy, eV per formula unit: -15.88

Geometry as CIF:
```
data_Li2Cd9In
_chemical_formula_sum 'Li2 Cd9 In1'
_symmetry_space_group_name_H-M 'P 4/m m m'
_symmetry_Int_Tables_number 123
_symmetry_space_group_name_Hall '-P 4 2'
_cell_length_a 4.5114
_cell_length_b 4.5114
_cell_length_c 12.8034
_cell_angle_alpha 90.00
_cell_angle_beta 90.00
_cell_angle_gamma 90.00
loop_
_atom_site_label
_atom_site_fract_x
_atom_site_fract_y
_atom_site_fract_z
Li1 0.0000 0.0000 0.1593
Cd1 0.0000 0.5000 0.0000
Cd2 0.0000 0.5000 0.3212
Cd3 0.5000 0.5000 0.1623
Cd4 0.5000 0.5000 0.5000
In1 0.0000 0.0000 0.5000
```

***

# 12
Below is KNiAsRh2 after structural relaxation, with properties calculated at the PBE-GGA level.

## Properties
DOS at the Fermi energy, states/eV/cell: 7.90
Total magnetization, μB/atom: 0.557
Formation enthalpy at 0 K, meV/atom: 2339
Total energy, eV per formula unit: -14.54
Energy above the lowest structure with this stoichiometry, kcal/mol of atoms: 29.40

Geometry as CIF:
```
data_KNiAsRh2
_chemical_formula_sum 'K1 Ni1 As1 Rh2'
_symmetry_space_group_name_H-M 'P 4/m m m'
_symmetry_Int_Tables_number 123
_symmetry_space_group_name_Hall '-P 4 2'
_cell_length_a 4.6709
_cell_length_b 4.6709
_cell_length_c 5.3425
_cell_angle_alpha 90.00
_cell_angle_beta 90.00
_cell_angle_gamma 90.00
loop_
_atom_site_label
_atom_site_fract_x
_atom_site_fract_y
_atom_site_fract_z
K1 0.0000 0.0000 0.0000
Ni1 0.5000 0.5000 0.5000
As1 0.0000 0.0000 0.5000
Rh1 0.0000 0.5000 0.0000
```